# 1
Here is Tc2NiMo after structural relaxation from Alexandria. Energies are from PBE-GGA.

Computed properties:
As for the energy above the most stable polymorph in this dataset: 0.726 eV/atom. The calculation puts the energy of formation at 274 kJ/mol of formula units. The calculation puts the density of states at the Fermi level at 22.12 states/eV/cell.

abc: 6.839 6.839 5.213
angles: 90.00 90.00 90.00
Space group I-42d (No. 122)
Inequivalent atoms, fractional coordinates:
Tc 0.248 0.750 0.125
Ni 0.000 0.000 0.000
Mo 0.000 0.000 0.500


# 2
Here is TcNiMo2 after structural relaxation from Alexandria. Energies are from PBE-GGA.

Computed properties:
As for the energy above the most stable polymorph in this dataset: 0.150 eV/atom. The calculation puts the energy of formation at 61 kJ/mol of formula units. The calculation puts the density of states at the Fermi level at 3.74 states/eV/cell.

abc: 2.580 4.075 5.541
angles: 90.00 90.00 90.00
Space group Pmm2 (No. 25)
Inequivalent atoms, fractional coordinates:
Tc 0.000 0.000 0.000
Ni 0.500 0.500 0.769
Mo 0.000 0.000 0.538
Mo 0.500 0.500 0.259


# 3
Here is TcNiMo2 after structural relaxation from Alexandria. Energies are from PBE-GGA.

Computed properties:
As for the energy above the most stable polymorph in this dataset: 0.119 eV/atom. The calculation puts the energy of formation at 48 kJ/mol of formula units. The calculation puts the density of states at the Fermi level at 6.09 states/eV/cell.

abc: 8.968 2.753 4.741
angles: 90.00 99.60 90.00
Space group Cm (No. 8)
Inequivalent atoms, fractional coordinates:
Tc 0.000 0.000 0.000
Ni 0.262 0.000 0.746
Mo 0.021 0.500 0.526
Mo 0.258 0.500 0.244


# 4
Here is TcNiMo2 after structural relaxation from Alexandria. Energies are from PBE-GGA.

Computed properties:
As for the energy above the most stable polymorph in this dataset: 0.195 eV/atom. The calculation puts the energy of formation at 78 kJ/mol of formula units. The calculation puts the density of states at the Fermi level at 17.88 states/eV/cell.

abc: 6.145 6.145 6.145
angles: 90.00 90.00 90.00
Space group Fm-3m (No. 225)
Inequivalent atoms, fractional coordinates:
Tc 0.000 0.000 0.000
Ni 0.000 0.000 0.500
Mo 0.250 0.250 0.250